[1]
This record from the Alexandria database describes a relaxed structure of TcPdPt2N. The functional is PBE.

Unit cell a=5.0349 b=5.0349 c=3.5639 alpha=90.00 beta=90.00 gamma=90.00
Closest atoms and distances in Å follow each position.
Fractional positions:
Tc 0.0000 0.0000 0.0000  8 Pt 3.08
Pd 0.5000 0.5000 0.5000  2 N 1.78
Pt 0.0000 0.5000 0.5000  2 Pd 2.52
Pt 0.5000 0.0000 0.5000  2 Pd 2.52
N 0.5000 0.5000 0.0000  2 Pd 1.78

Properties
Space group: P4/mmm
Calculated total energy (eV/atom): -5.695



[2]
This record from the Alexandria database describes a relaxed structure of ErScAs. The functional is PBE.

Unit cell a=7.6312 b=7.6312 c=9.8892 alpha=90.42 beta=90.42 gamma=30.10
Closest atoms and distances in Å follow each position.
Fractional positions:
Er 0.0475 0.0475 0.3616  4 As 2.79-2.98, 1 Er 3.08
Er 0.4086 0.4086 0.1414  2 As 2.80-2.98
Er 0.5914 0.5914 0.8586  2 As 2.80-2.98
Er 0.9525 0.9525 0.6384  4 As 2.79-2.98, 1 Er 3.08
Sc 0.1911 0.1911 0.0816  2 As 2.60
Sc 0.2381 0.2381 0.6552  4 As 2.80-3.01
Sc 0.7619 0.7619 0.3448  4 As 2.80-3.01
Sc 0.8089 0.8089 0.9184  2 As 2.60
As 0.3806 0.3806 0.4394  3 Sc 2.80-3.01, 3 Er 2.98
As 0.4031 0.4031 0.8228  2 Sc 2.60, 3 Er 2.79-2.80
As 0.5969 0.5969 0.1772  2 Sc 2.60, 3 Er 2.79-2.80
As 0.6194 0.6194 0.5606  3 Sc 2.80-3.01, 3 Er 2.98

Properties
Space group: C2/m
Energy of formation from the pure elements (meV/atom): -802



[3]
This record from the Alexandria database describes a relaxed structure of Ba2SrCu9. The functional is PBE.

Unit cell a=9.2558 b=9.2558 c=9.2558 alpha=34.58 beta=34.58 gamma=34.58
Closest atoms and distances in Å follow each position.
Fractional positions:
Ba 0.1421 0.1421 0.1421  12 Cu 3.24-3.45, 3 Ba 3.43
Ba 0.8579 0.8579 0.8579  12 Cu 3.24-3.45, 3 Ba 3.43
Sr 0.0000 0.0000 0.0000  18 Cu 3.18-3.38
Cu 0.0920 0.5671 0.5671  4 Cu 2.50-2.61
Cu 0.3296 0.3296 0.3296  6 Cu 2.50-2.56
Cu 0.4329 0.4329 0.9080  4 Cu 2.50-2.61
Cu 0.4329 0.9080 0.4329  4 Cu 2.50-2.61
Cu 0.5000 0.5000 0.5000  6 Cu 2.82
Cu 0.5671 0.0920 0.5671  4 Cu 2.50-2.61
Cu 0.5671 0.5671 0.0920  4 Cu 2.50-2.61
Cu 0.6704 0.6704 0.6704  6 Cu 2.50-2.56
Cu 0.9080 0.4329 0.4329  4 Cu 2.50-2.61

Properties
Space group: R-3m
Energy of formation from the pure elements (meV/atom): 54